Sr2RhI: PBEsol geometry, meta-GGA SCAN.

abc: 7.6146 7.6146 7.6146
angles: 90.00 90.00 90.00
Closest atoms and distances in Å follow each position.
Space group Fm-3m (No. 225)
Inequivalent atoms, fractional coordinates:
Sr  0.2500  0.2500  0.2500 [8 per cell]  4 Rh 3.30, 4 I 3.30
Rh  0.0000  0.0000  0.0000 [4 per cell]  8 Sr 3.30
I  0.0000  0.0000  0.5000 [4 per cell]  8 Sr 3.30

energy	-468.6	eV for the cell shown
magnetic moment	0.00	μB per atom



Sc2AgRu: PBEsol geometry, meta-GGA SCAN.

abc: 3.1766 4.0808 5.5978
angles: 90.00 90.00 90.00
Closest atoms and distances in Å follow each position.
Space group Pmm2 (No. 25)
Inequivalent atoms, fractional coordinates:
Sc  0.0000  0.0000  0.0000 [1 per cell]  1 Ag 2.62, 4 Ru 2.70
Sc  0.5000  0.5000  0.3349 [1 per cell]  1 Ru 2.64, 4 Ag 2.81
Ag  0.0000  0.0000  0.5314 [1 per cell]  5 Sc 2.62-2.81
Ru  0.5000  0.5000  0.8637 [1 per cell]  5 Sc 2.64-2.70

ΔH_f (0 K)	-0.228	eV per atom
magnetic moment	0.00	μB per atom



ScBe2Re: PBEsol geometry, meta-GGA SCAN.

abc: 2.5741 2.9617 6.7475
angles: 90.00 90.00 90.00
Closest atoms and distances in Å follow each position.
Space group Pmm2 (No. 25)
Inequivalent atoms, fractional coordinates:
Sc  0.0000  0.0000  0.0000 [1 per cell]  2 Sc 2.57, 4 Be 2.81
Be  0.0000  0.0000  0.4498 [1 per cell]  4 Be 2.22, 4 Re 2.47
Be  0.5000  0.5000  0.2972 [1 per cell]  4 Be 2.22
Re  0.5000  0.5000  0.6716 [1 per cell]  5 Be 2.47-2.53, 2 Re 2.57

energy above the most stable polymorph in this dataset	173.5	meV per atom
ΔH_f (0 K)	0.086	eV per atom
magnetic moment	0.08	μB per atom



CaAlOsRh2: PBEsol geometry, meta-GGA SCAN.

abc: 4.5367 4.5367 4.6634
angles: 90.00 90.00 90.00
Closest atoms and distances in Å follow each position.
Space group P4/mmm (No. 123)
Inequivalent atoms, fractional coordinates:
Ca  0.0000  0.0000  0.0000 [1 per cell]  4 Rh 2.27, 2 Os 2.33
Al  0.5000  0.5000  0.5000 [1 per cell]  4 Os 3.21, 8 Rh 3.25
Os  0.0000  0.0000  0.5000 [1 per cell]  2 Ca 2.33
Rh  0.0000  0.5000  0.0000 [2 per cell]  2 Ca 2.27

ΔH_f (0 K)	2.034	eV per atom
magnetic moment	0.33	μB per atom



Ca3SnAs: PBEsol geometry, meta-GGA SCAN.

abc: 5.7067 5.7067 5.7067
angles: 90.00 90.00 90.00
Closest atoms and distances in Å follow each position.
Space group Pm-3m (No. 221)
Inequivalent atoms, fractional coordinates:
Ca  0.0000  0.0000  0.5000 [3 per cell]  2 Sn 2.85
Sn  0.0000  0.0000  0.0000 [1 per cell]  6 Ca 2.85
As  0.5000  0.5000  0.5000 [1 per cell]  12 Ca 4.04

ΔH_f (0 K)	-0.193	eV per atom
magnetic moment	0.00	μB per atom



La2Ag: PBEsol geometry, meta-GGA SCAN.

abc: 7.9530 7.9530 4.8532
angles: 90.00 90.00 120.00
Closest atoms and distances in Å follow each position.
Space group P-62m (No. 189)
Inequivalent atoms, fractional coordinates:
La  0.0000  0.2620  0.0000 [3 per cell]  4 Ag 2.98-3.20
La  0.0000  0.5872  0.5000 [3 per cell]  5 Ag 3.28-3.41, 2 La 3.55
Ag  0.0000  0.0000  0.5000 [1 per cell]  9 La 3.20-3.28
Ag  0.3333  0.6667  0.0000 [2 per cell]  3 La 2.98

ΔH_f (0 K)	-0.184	eV per atom
magnetic moment	0.00	μB per atom



Please write out number 1 again, unchanged.
Sr2RhI: PBEsol geometry, meta-GGA SCAN.

abc: 7.6146 7.6146 7.6146
angles: 90.00 90.00 90.00
Closest atoms and distances in Å follow each position.
Space group Fm-3m (No. 225)
Inequivalent atoms, fractional coordinates:
Sr  0.2500  0.2500  0.2500 [8 per cell]  4 Rh 3.30, 4 I 3.30
Rh  0.0000  0.0000  0.0000 [4 per cell]  8 Sr 3.30
I  0.0000  0.0000  0.5000 [4 per cell]  8 Sr 3.30

energy	-468.6	eV for the cell shown
magnetic moment	0.00	μB per atom



Question: Look up the magnetic moment of the fourth one.
Answer: 0.33 μB per atom